Material: NiB3Pb
Method: DFT, PBE
State: relaxed

Calculated values
The total magnetic moment is 0.000 μB per atom. The value obtained for the total energy is -15.219 eV/cell.

Lattice parameters (Å, degrees): 4.576 4.576 4.576 90.00 90.00 90.00
Fractional coordinates of all 5 atoms:
B1 0.000 0.500 0.000
B2 0.500 0.000 0.000
B3 0.000 0.000 0.500
Ni1 0.500 0.500 0.500
Pb1 0.000 0.000 0.000